[1]
Material: YBeGa
Method: DFT, PBE
State: optimized geometry

abc: 11.290 3.838 5.263
angles: 90.00 105.35 90.00
Space group C2/m (No. 12)
One atom of each set of equivalent atoms:
1 Y 0.117 0.000 0.302 x4
2 Be 0.224 0.000 0.862 x4
3 Ga 0.107 0.500 0.771 x4

Properties
Density = 5.06 g/cm³
ΔH_f (0 K) = -0.35 eV per atom
VASP energy = -57.1 eV per cell
Offset from the most stable computed form = 84.4 meV per atom
Size of the total moment = 0.00 μB per cell


[2]
Material: YBeGa
Method: DFT, PBE
State: optimized geometry

abc: 6.287 6.287 6.287
angles: 90.00 90.00 90.00
Space group F-43m (No. 216)
One atom of each set of equivalent atoms:
1 Y 0.000 0.000 0.000 x4
2 Be 0.000 0.000 0.500 x4
3 Ga 0.250 0.250 0.250 x4

Properties
Density = 4.48 g/cm³
ΔH_f (0 K) = -0.09 eV per atom
VASP energy = -53.9 eV per cell
Offset from the most stable computed form = 347.6 meV per atom
Size of the total moment = 0.00 μB per cell